# PBE RbTc5P3, relaxed
# E = -63.4 eV for the cell shown
# Total magnetic moment = 0.01 μB per cell
data_RbTc5P3
_chemical_formula_sum 'Rb1 Tc5 P3'
_cell_length_a 7.8165
_cell_length_b 7.8165
_cell_length_c 2.9998
_cell_angle_alpha 90.00
_cell_angle_beta 90.00
_cell_angle_gamma 120.00
_space_group_name_H-M_alt 'P -6 2 m'
_space_group_IT_number 189
_space_group_name_Hall 'P -6 -2'
loop_
_atom_site_label
_atom_site_type_symbol
_atom_site_fract_x
_atom_site_fract_y
_atom_site_fract_z
Rb1 Rb 0.0000 0.0000 0.0000
Tc1 Tc 0.0000 0.3754 0.5000
Tc2 Tc 0.3333 0.6667 0.5000
P1 P 0.0000 0.6048 0.0000